(a)
! TlSiTe2N (PBE, relaxed); values from VASP
&SYSTEM
  ibrav = 0, nat = 5, ntyp = 4
/
ATOMIC_SPECIES
Tl 204.38 Tl.upf
Si 28.09 Si.upf
Te 127.60 Te.upf
N 14.01 N.upf
CELL_PARAMETERS angstrom
5.866 0.000 0.000
0.000 5.866 0.000
0.000 0.000 4.226
ATOMIC_POSITIONS crystal
Tl 0.000 0.000 0.000
Si 0.500 0.500 0.500
Te 0.000 0.500 0.000
Te 0.500 0.000 0.000
N 0.000 0.000 0.500
! Space group: P4/mmm (123)
! Magnetic moment (Bohr magnetons per cell): 1.89



(b)
! TlSiTe2N (PBE, relaxed); values from VASP
&SYSTEM
  ibrav = 0, nat = 5, ntyp = 4
/
ATOMIC_SPECIES
Tl 204.38 Tl.upf
Si 28.09 Si.upf
Te 127.60 Te.upf
N 14.01 N.upf
CELL_PARAMETERS angstrom
6.030 0.000 0.000
0.000 6.030 0.000
0.000 0.000 3.282
ATOMIC_POSITIONS crystal
Tl 0.000 0.000 0.000
Si 0.500 0.500 0.500
Te 0.000 0.500 0.500
Te 0.500 0.000 0.500
N 0.500 0.500 0.000
! Space group: P4/mmm (123)
! Magnetic moment (Bohr magnetons per cell): 0.00



Quick ranking, most stable first: (b), (a).